Below is crystalline Ce2Pd2Pt3 at its relaxed geometry, with properties calculated at the PBE level.

The structure in CIF format:
```
data_Ce2Pd2Pt3
_symmetry_space_group_name_H-M 'C 1 2/m 1'
_symmetry_Int_Tables_number 12
_cell_length_a 9.5274
_cell_length_b 4.1486
_cell_length_c 8.1645
_cell_angle_alpha 90.00
_cell_angle_beta 117.41
_cell_angle_gamma 90.00
loop_
_symmetry_equiv_pos_as_xyz
'x,y,z'
'-x,-y,-z'
'-x,y,-z'
'x,-y,z'
'x+1/2,y+1/2,z'
'-x+1/2,-y+1/2,-z'
'-x+1/2,y+1/2,-z'
'x+1/2,-y+1/2,z'
loop_
_atom_site_label
_atom_site_type_symbol
_atom_site_fract_x
_atom_site_fract_y
_atom_site_fract_z
Ce1 Ce 0.1969 0.0000 0.2724
Pd1 Pd 0.1596 0.0000 0.8889
Pt1 Pt 0.0000 0.5000 0.0000
Pt2 Pt 0.0291 0.5000 0.3532
```

Computed properties:
- Spin magnetization: 0.90 μB per cell
- VASP energy: -92.11 eV for the cell shown
- ΔH_f (0 K): -0.811 eV per atom